VASP calculation (GGA-PBE) on crystalline PmDyErMg at its relaxed geometry.

Geometry as POSCAR:
```
PmDyErMg
1.0
-1.531 4.552 -2.730
-5.193 1.844 0.397
-1.074 4.655 2.774
Mg Dy Pm Er
1 1 1 1
direct
0.500 0.500 0.500 Mg
0.250 0.250 0.250 Dy
0.750 0.750 0.750 Pm
0.000 0.000 0.000 Er
```

Calculated values
SG = No. 216
energy above the lowest structure with this stoichiometry = 0.235 eV/f.u.

---

VASP calculation (GGA-PBE) on crystalline Pm3Dy6Er2Mg at its relaxed geometry.

Geometry as POSCAR:
```
Pm3Dy6Er2Mg
1.0
-4.187 -2.629 3.666
1.549 -2.674 -5.323
9.237 -4.047 5.915
Pm Dy Er Mg
3 6 2 1
direct
0.166 0.834 0.500 Pm
0.834 0.166 0.500 Pm
0.500 0.500 0.500 Pm
0.919 0.587 0.755 Dy
0.748 0.748 0.245 Dy
0.081 0.413 0.245 Dy
0.587 0.919 0.755 Dy
0.252 0.252 0.755 Dy
0.413 0.081 0.245 Dy
0.334 0.666 0.000 Er
0.666 0.334 0.000 Er
0.000 0.000 0.000 Mg
```

Calculated values
SG = No. 12

---

VASP calculation (GGA-PBE) on crystalline Pm4Dy2ErMg at its relaxed geometry.

Geometry as POSCAR:
```
Pm4Dy2ErMg
1.0
5.046 0.000 0.000
0.000 4.924 1.130
0.000 2.704 10.832
Pm Dy Er Mg
4 2 1 1
direct
0.000 0.747 0.753 Pm
0.000 0.253 0.247 Pm
0.500 0.753 0.247 Pm
0.500 0.247 0.753 Pm
0.000 0.000 0.000 Dy
0.500 0.000 0.500 Dy
0.000 0.500 0.500 Er
0.500 0.500 0.000 Mg
```

Calculated values
SG = No. 123

---

VASP calculation (GGA-PBE) on crystalline PmDy2Er2Mg2 at its relaxed geometry.

Geometry as POSCAR:
```
PmDy2Er2Mg2
1.0
5.447 0.000 0.000
2.724 4.718 0.000
2.724 1.573 7.997
Pm Dy Er Mg
1 2 2 2
direct
0.000 0.000 0.000 Pm
0.572 0.572 0.284 Dy
0.428 0.428 0.716 Dy
0.155 0.155 0.534 Er
0.845 0.845 0.466 Er
0.711 0.711 0.867 Mg
0.289 0.289 0.133 Mg
```

Calculated values
SG = No. 166

---

VASP calculation (GGA-PBE) on crystalline Pm2Dy2ErMg2 at its relaxed geometry.

Geometry as POSCAR:
```
Pm2Dy2ErMg2
1.0
5.470 0.000 0.000
2.735 4.737 0.000
2.735 1.579 8.063
Pm Dy Er Mg
2 2 1 2
direct
0.155 0.155 0.534 Pm
0.845 0.845 0.466 Pm
0.574 0.574 0.278 Dy
0.426 0.426 0.722 Dy
0.000 0.000 0.000 Er
0.710 0.710 0.871 Mg
0.290 0.290 0.129 Mg
```

Calculated values
SG = No. 166

---

VASP calculation (GGA-PBE) on crystalline Pm6Dy2ErMg at its relaxed geometry.

Geometry as POSCAR:
```
Pm6Dy2ErMg
1.0
8.985 -2.031 -2.107
0.914 8.576 -1.969
0.914 -2.285 8.497
Pm Dy Er Mg
12 4 2 2
direct
0.052 0.127 0.769 Pm
0.448 0.231 0.873 Pm
0.948 0.873 0.231 Pm
0.552 0.769 0.127 Pm
0.304 0.000 0.433 Pm
0.196 0.567 0.000 Pm
0.696 0.000 0.567 Pm
0.804 0.433 0.000 Pm
0.110 0.710 0.499 Pm
0.390 0.501 0.290 Pm
0.890 0.290 0.501 Pm
0.610 0.499 0.710 Pm
0.450 0.797 0.696 Dy
0.050 0.304 0.203 Dy
0.550 0.203 0.304 Dy
0.950 0.696 0.797 Dy
0.250 0.977 0.023 Er
0.750 0.023 0.977 Er
0.250 0.412 0.588 Mg
0.750 0.588 0.412 Mg
```

Calculated values
SG = No. 15

---

VASP calculation (GGA-PBE) on crystalline PmDyErMg at its relaxed geometry.

Geometry as POSCAR:
```
PmDyErMg
1.0
3.623 0.000 0.000
0.000 3.623 0.000
0.000 0.000 9.124
Pm Dy Er Mg
1 1 1 1
direct
0.000 0.000 0.073 Pm
0.500 0.500 0.800 Dy
0.500 0.500 0.343 Er
0.000 0.000 0.569 Mg
```

Calculated values
SG = No. 99
energy above the lowest structure with this stoichiometry = 0.000 eV/f.u.

---

VASP calculation (GGA-PBE) on crystalline Pm2DyEr2Mg5 at its relaxed geometry.

Geometry as POSCAR:
```
Pm2DyEr2Mg5
1.0
-3.631 -2.854 -2.087
4.366 1.425 -9.548
5.964 -8.638 1.438
Pm Dy Er Mg
4 2 4 10
direct
0.000 0.677 0.177 Pm
0.000 0.323 0.823 Pm
0.000 0.177 0.323 Pm
0.000 0.823 0.677 Pm
0.000 0.000 0.000 Dy
0.000 0.500 0.500 Dy
0.000 0.119 0.619 Er
0.000 0.881 0.381 Er
0.000 0.619 0.881 Er
0.000 0.381 0.119 Er
0.500 0.198 0.070 Mg
0.500 0.802 0.930 Mg
0.500 0.070 0.802 Mg
0.500 0.698 0.430 Mg
0.500 0.930 0.198 Mg
0.500 0.302 0.570 Mg
0.500 0.570 0.698 Mg
0.500 0.430 0.302 Mg
0.500 0.500 0.000 Mg
0.500 0.000 0.500 Mg
```

Calculated values
SG = No. 127

---

| no. | uncorrected energy (eV/atom) |
| --- | --- |
| 1 | -3.845 |
| 2 | -4.349 |
| 3 | -4.286 |
| 4 | -3.786 |
| 5 | -3.788 |
| 6 | -4.269 |
| 7 | -3.904 |
| 8 | -3.080 |